[1]
This record from the Alexandria database describes an optimized crystal structure of TaReCl2. The functional is PBE.

Final energy in eV per cell: -25.30

a = 2.8288 Å, b = 4.4821 Å, c = 5.3333 Å
α = 90.00°, β = 90.00°, γ = 90.00°
Closest atoms and distances in Å follow each position.
Space group Pmmm (No. 47)
Inequivalent atoms, fractional coordinates:
Ta  0.0000  0.0000  0.0000 x1  4 Cl 2.65, 2 Ta 2.83
Re  0.5000  0.0000  0.5000 x1  4 Cl 2.65, 2 Re 2.83
Cl  0.0000  0.5000  0.5000 x1  4 Re 2.65, 2 Cl 2.83
Cl  0.5000  0.5000  0.0000 x1  4 Ta 2.65, 2 Cl 2.83



[2]
This record from the Alexandria database describes an optimized crystal structure of PmZn2Sn. The functional is PBE.

Final energy in eV per cell: -25.00
ΔH_f (0 K) in eV/atom: -0.30

a = 9.8168 Å, b = 4.5018 Å, c = 4.5210 Å
α = 90.00°, β = 115.88°, γ = 90.00°
Closest atoms and distances in Å follow each position.
Space group C2/m (No. 12)
Inequivalent atoms, fractional coordinates:
Pm  0.0000  0.0000  0.0000 x2  8 Zn 3.13-3.19, 4 Sn 3.19
Zn  0.2496  0.0000  0.7464 x4  4 Sn 3.11-3.22, 4 Pm 3.13-3.19, 4 Zn 3.17-3.21
Sn  0.0000  0.5000  0.5000 x2  8 Zn 3.11-3.22, 4 Pm 3.19



[3]
This record from the Alexandria database describes an optimized crystal structure of Tb3Ho2Pu. The functional is PBE.

Final energy in eV per cell: -134.94
ΔH_f (0 K) in eV/atom: 0.61

a = 11.3556 Å, b = 11.9735 Å, c = 6.2687 Å
α = 90.00°, β = 90.00°, γ = 90.00°
Closest atoms and distances in Å follow each position.
Space group Ibam (No. 72)
Inequivalent atoms, fractional coordinates:
Tb  0.0000  0.0000  0.2500 x4  4 Tb 3.13-3.21, 4 Ho 3.41
Tb  0.0000  0.2678  0.2500 x8  3 Tb 3.13-3.21, 2 Pu 3.19
Ho  0.2464  0.0972  0.0000 x8  1 Pu 3.11, 2 Tb 3.41
Pu  0.0000  0.5000  0.0000 x4  2 Ho 3.11, 2 Pu 3.13, 4 Tb 3.19



[4]
This record from the Alexandria database describes an optimized crystal structure of PaGa8Fe4. The functional is PBE.

Final energy in eV per cell: -141.00
ΔH_f (0 K) in eV/atom: -0.23

a = 8.7233 Å, b = 8.7233 Å, c = 5.0503 Å
α = 90.00°, β = 90.00°, γ = 90.00°
Closest atoms and distances in Å follow each position.
Space group I4/mmm (No. 139)
Inequivalent atoms, fractional coordinates:
Pa  0.0000  0.0000  0.0000 x2  12 Ga 3.01-3.17, 8 Fe 3.33
Ga  0.0000  0.2192  0.5000 x8  4 Fe 2.53, 6 Ga 2.70-2.80
Ga  0.0000  0.3447  0.0000 x8  4 Fe 2.65, 5 Ga 2.71-2.80
Fe  0.2500  0.2500  0.2500 x8  2 Fe 2.53, 8 Ga 2.53-2.65



[5]
This record from the Alexandria database describes an optimized crystal structure of Ho6SbTe3Pb2. The functional is PBE.

Final energy in eV per cell: -121.45

a = 19.1025 Å, b = 4.3968 Å, c = 8.7704 Å
α = 90.00°, β = 103.06°, γ = 90.00°
Closest atoms and distances in Å follow each position.
Space group C2/m (No. 12)
Inequivalent atoms, fractional coordinates:
Ho  0.0032  0.0000  0.2443 x4  1 Pb 3.04, 2 Sb 3.06, 3 Te 3.14-3.15
Ho  0.1643  0.5000  0.0898 x4  2 Pb 3.05, 1 Sb 3.06, 3 Te 3.15-3.17
Ho  0.1687  0.5000  0.5769 x4  3 Pb 3.06, 3 Te 3.14-3.16
Sb  0.0000  0.5000  0.0000 x2  6 Ho 3.06
Te  0.0000  0.5000  0.5000 x2  6 Ho 3.14-3.15
Te  0.1657  0.0000  0.8336 x4  6 Ho 3.14-3.17
Pb  0.1667  0.0000  0.3325 x4  6 Ho 3.04-3.06



[6]
This record from the Alexandria database describes an optimized crystal structure of PrSm4Dy2. The functional is PBE.

Final energy in eV per cell: -64.51
ΔH_f (0 K) in eV/atom: 0.09

a = 3.5709 Å, b = 5.7848 Å, c = 23.0989 Å
α = 90.00°, β = 90.00°, γ = 90.00°
Closest atoms and distances in Å follow each position.
Space group Immm (No. 71)
Inequivalent atoms, fractional coordinates:
Pr  0.0000  0.0000  0.0000 x2  8 Sm 3.54-3.66, 2 Pr 3.57
Sm  0.0000  0.5000  0.0884 x4  2 Pr 3.54, 6 Sm 3.57-3.59, 2 Dy 3.64
Sm  0.0000  0.5000  0.3617 x4  4 Dy 3.53-3.62, 6 Sm 3.57-3.59, 2 Pr 3.66
Dy  0.0000  0.0000  0.2745 x4  6 Sm 3.53-3.64, 6 Dy 3.57-3.58



[7]
This record from the Alexandria database describes an optimized crystal structure of BaCeAg4. The functional is PBE.

Final energy in eV per cell: -77.74
ΔH_f (0 K) in eV/atom: -0.03

a = 8.4046 Å, b = 8.4046 Å, c = 8.4046 Å
α = 90.00°, β = 90.00°, γ = 90.00°
Closest atoms and distances in Å follow each position.
Space group F-43m (No. 216)
Inequivalent atoms, fractional coordinates:
Ba  0.0000  0.0000  0.0000 x4  12 Ag 3.49, 4 Ce 3.64
Ce  0.2500  0.2500  0.2500 x4  12 Ag 3.48, 4 Ba 3.64
Ag  0.1243  0.1243  0.6243 x16  6 Ag 2.95-2.99



[8]
This record from the Alexandria database describes an optimized crystal structure of PdCl3O. The functional is PBE.

Final energy in eV per cell: -12.28

a = 4.7793 Å, b = 4.7793 Å, c = 4.7793 Å
α = 90.00°, β = 90.00°, γ = 90.00°
Closest atoms and distances in Å follow each position.
Space group Pm-3m (No. 221)
Inequivalent atoms, fractional coordinates:
Pd  0.0000  0.0000  0.0000 x1  6 Cl 2.39
Cl  0.0000  0.0000  0.5000 x3  2 Pd 2.39
O  0.5000  0.5000  0.5000 x1  12 Cl 3.38